1.
Entry from Alexandria via LeMat-Bulk: KIrSe2 after structural relaxation (PBE).

Output
For the electronic total energy, the calculation gives -4.3918 eV/atom. Its space-group type is No. 44. Its density of states at the Fermi level is 1.70 states/eV/cell.

a b c (Å): 7.9264 7.9264 7.9264
angles (deg): 154.87 153.49 36.85
With the nearest neighbours (Å) after each atom.
Fractional coordinates of all 4 atoms:
Ir 0.5522 0.5522 0.0000  2 Se 2.42
K 0.3018 0.8018 0.5000  6 Se 3.24-3.25, 2 K 3.45
Se 0.9806 0.9806 0.0000  4 Ir 2.73
Se 0.6655 0.1655 0.5000  2 Ir 2.42



2.
Entry from Alexandria via LeMat-Bulk: La3Tb2Cd2 after structural relaxation (PBE).

Output
For the electronic total energy, the calculation gives -3.7722 eV/atom. Its calculated formation energy is -76 meV/atom. Its space-group type is No. 65. Its density of states at the Fermi level is 8.24 states/eV/cell.

a b c (Å): 5.1876 3.5503 12.0504
angles (deg): 90.00 77.57 90.00
With the nearest neighbours (Å) after each atom.
Fractional coordinates of all 7 atoms:
La 0.8563 0.0000 0.2874  3 La 3.38-3.55, 4 Tb 3.51, 4 Cd 3.60
La 0.0000 0.0000 0.0000  4 La 3.38-3.55, 8 Cd 3.54
La 0.1437 0.0000 0.7126  3 La 3.38-3.55, 4 Tb 3.51, 4 Cd 3.60
Tb 0.7103 0.5000 0.5794  4 Tb 3.20-3.55, 1 Cd 3.31, 4 La 3.51
Tb 0.2897 0.5000 0.4206  4 Tb 3.20-3.55, 1 Cd 3.31, 4 La 3.51
Cd 0.5695 0.5000 0.8610  3 Cd 3.27-3.55, 1 Tb 3.31, 8 La 3.54-3.60
Cd 0.4305 0.5000 0.1390  3 Cd 3.27-3.55, 1 Tb 3.31, 8 La 3.54-3.60



3.
Entry from Alexandria via LeMat-Bulk: SrZn2F6 after structural relaxation (PBE).

Output
For the electronic total energy, the calculation gives -4.5714 eV/atom. Its space-group type is No. 12. Its density of states at the Fermi level is 0.00 states/eV/cell.

a b c (Å): 4.0666 5.6052 6.9767
angles (deg): 72.04 73.06 68.73
With the nearest neighbours (Å) after each atom.
Fractional coordinates of all 9 atoms:
Sr 0.0000 0.5000 0.5000  6 F 2.45-2.48
Zn 0.1729 0.7489 0.9053  6 F 1.99-2.17
Zn 0.8271 0.2511 0.0947  6 F 1.99-2.17
F 0.7168 0.6533 0.9131  3 Zn 2.09-2.17
F 0.2832 0.3467 0.0869  3 Zn 2.09-2.17
F 0.9820 0.8505 0.1856  2 Zn 2.04-2.06
F 0.3440 0.6922 0.6198  1 Zn 1.99
F 0.0180 0.1495 0.8144  2 Zn 2.04-2.06
F 0.6560 0.3078 0.3802  1 Zn 1.99



4.
Entry from Alexandria via LeMat-Bulk: NiSbTe2Ir after structural relaxation (PBE).

Output
For the electronic total energy, the calculation gives -4.0798 eV/atom. Its space-group type is No. 123. Its density of states at the Fermi level is 7.73 states/eV/cell.

a b c (Å): 5.3637 5.3637 4.9501
angles (deg): 90.00 90.00 90.00
With the nearest neighbours (Å) after each atom.
Fractional coordinates of all 5 atoms:
Sb 0.0000 0.0000 0.5000  2 Ir 2.48
Ir 0.0000 0.0000 0.0000  2 Sb 2.48, 4 Te 2.68
Te 0.0000 0.5000 0.0000  2 Ir 2.68
Te 0.5000 0.0000 0.0000  2 Ir 2.68
Ni 0.5000 0.5000 0.5000  8 Te 3.65, 4 Sb 3.79



5.
Entry from Alexandria via LeMat-Bulk: PmCuBi2 after structural relaxation (PBE).

Output
For the electronic total energy, the calculation gives -4.4326 eV/atom. Its calculated formation energy is -280 meV/atom. Its space-group type is No. 123. Its density of states at the Fermi level is 2.18 states/eV/cell.

a b c (Å): 4.4302 4.8570 4.8570
angles (deg): 90.00 90.00 90.00
With the nearest neighbours (Å) after each atom.
Fractional coordinates of all 4 atoms:
Bi 0.0000 0.0000 0.5000  4 Cu 3.29, 4 Pm 3.29, 4 Bi 3.43
Bi 0.0000 0.5000 0.0000  4 Cu 3.29, 4 Pm 3.29, 4 Bi 3.43
Cu 0.5000 0.0000 0.0000  8 Bi 3.29, 4 Pm 3.43
Pm 0.5000 0.5000 0.5000  8 Bi 3.29, 4 Cu 3.43



6.
Entry from Alexandria via LeMat-Bulk: MgInPd14 after structural relaxation (PBE).

Output
For the electronic total energy, the calculation gives -5.0400 eV/atom. Its calculated formation energy is -225 meV/atom. Its space-group type is No. 123. Its density of states at the Fermi level is 29.47 states/eV/cell.

a b c (Å): 5.6343 5.6343 7.9140
angles (deg): 90.00 90.00 89.99
With the nearest neighbours (Å) after each atom.
Fractional coordinates of all 16 atoms:
Mg 0.3750 0.3750 0.5000  12 Pd 2.80-2.82
In 0.8750 0.8750 0.5000  12 Pd 2.82
Pd 0.8750 0.8750 0.0000  12 Pd 2.81-2.82
Pd 0.3750 0.3750 0.0000  12 Pd 2.80-2.82
Pd 0.8750 0.3750 0.5000  8 Pd 2.81, 2 In 2.82, 2 Mg 2.82
Pd 0.8750 0.3750 0.0000  12 Pd 2.80-2.82
Pd 0.3750 0.8750 0.5000  8 Pd 2.81, 2 In 2.82, 2 Mg 2.82
Pd 0.3750 0.8750 0.0000  12 Pd 2.80-2.82
Pd 0.6238 0.1262 0.2493  10 Pd 2.80-2.83, 1 Mg 2.80, 1 In 2.82
Pd 0.6238 0.1262 0.7507  10 Pd 2.80-2.83, 1 Mg 2.80, 1 In 2.82
Pd 0.1262 0.6238 0.2493  10 Pd 2.80-2.83, 1 Mg 2.80, 1 In 2.82
Pd 0.1262 0.6238 0.7507  10 Pd 2.80-2.83, 1 Mg 2.80, 1 In 2.82
Pd 0.6237 0.6237 0.2493  10 Pd 2.80-2.83, 1 Mg 2.80, 1 In 2.82
Pd 0.6237 0.6237 0.7507  10 Pd 2.80-2.83, 1 Mg 2.80, 1 In 2.82
Pd 0.1263 0.1263 0.2493  10 Pd 2.80-2.83, 1 Mg 2.80, 1 In 2.82
Pd 0.1263 0.1263 0.7507  10 Pd 2.80-2.83, 1 Mg 2.80, 1 In 2.82



7.
Entry from Alexandria via LeMat-Bulk: IrPd3W after structural relaxation (PBE).

Output
For the electronic total energy, the calculation gives -5.4535 eV/atom. Its calculated formation energy is 2025 meV/atom. Its space-group type is No. 221. Its density of states at the Fermi level is 12.96 states/eV/cell.

a b c (Å): 4.7209 4.7209 4.7209
angles (deg): 90.00 90.00 90.00
With the nearest neighbours (Å) after each atom.
Fractional coordinates of all 5 atoms:
Ir 0.0000 0.0000 0.0000  6 Pd 2.36
Pd 0.0000 0.5000 0.0000  2 Ir 2.36
Pd 0.0000 0.0000 0.5000  2 Ir 2.36
Pd 0.5000 0.0000 0.0000  2 Ir 2.36
W 0.5000 0.5000 0.5000  12 Pd 3.34



8.
Entry from Alexandria via LeMat-Bulk: Cs2HoNp2S6 after structural relaxation (PBE).

Output
For the electronic total energy, the calculation gives -6.7370 eV/atom. Its space-group type is No. 12. Its density of states at the Fermi level is 18.56 states/eV/cell.

a b c (Å): 7.0058 7.0058 8.5492
angles (deg): 97.71 97.71 120.03
With the nearest neighbours (Å) after each atom.
Fractional coordinates of all 11 atoms:
Cs 0.8345 0.1655 0.0000  6 S 3.54-3.55
Cs 0.1655 0.8345 0.0000  6 S 3.54-3.55
Ho 0.0000 0.0000 0.5000  6 S 2.75-2.76
Np 0.3339 0.6661 0.5000  6 S 2.73-2.74
Np 0.6661 0.3339 0.5000  6 S 2.73-2.74
S 0.7233 0.7233 0.6752  2 Np 2.74, 1 Ho 2.75
S 0.0561 0.3930 0.6749  2 Np 2.73-2.74, 1 Ho 2.76
S 0.2767 0.2767 0.3248  2 Np 2.74, 1 Ho 2.75
S 0.3930 0.0561 0.6749  2 Np 2.73-2.74, 1 Ho 2.76
S 0.9439 0.6070 0.3251  2 Np 2.73-2.74, 1 Ho 2.76
S 0.6070 0.9439 0.3251  2 Np 2.73-2.74, 1 Ho 2.76



9.
Entry from Alexandria via LeMat-Bulk: KCdTc2 after structural relaxation (PBE).

Output
For the electronic total energy, the calculation gives -4.4970 eV/atom. Its calculated formation energy is 1189 meV/atom. Its space-group type is No. 47. Its density of states at the Fermi level is 6.11 states/eV/cell.

a b c (Å): 2.7948 5.0366 5.4694
angles (deg): 90.00 90.00 90.00
With the nearest neighbours (Å) after each atom.
Fractional coordinates of all 4 atoms:
Cd 0.5000 0.0000 0.5000  2 Cd 2.79, 4 K 2.88, 4 Tc 3.07
K 0.0000 0.5000 0.5000  2 K 2.79, 4 Cd 2.88, 4 Tc 3.07
Tc 0.0000 0.0000 0.0000  6 Tc 2.79-2.88, 4 Cd 3.07
Tc 0.5000 0.5000 0.0000  6 Tc 2.79-2.88, 4 K 3.07



10.
Entry from Alexandria via LeMat-Bulk: YTlTe2 after structural relaxation (PBE).

Output
For the electronic total energy, the calculation gives -4.8258 eV/atom. Its space-group type is No. 164. Its density of states at the Fermi level is 0.00 states/eV/cell.

a b c (Å): 11.3790 4.4413 4.4413
angles (deg): 120.03 125.85 54.15
With the nearest neighbours (Å) after each atom.
Fractional coordinates of all 4 atoms:
Y 0.5000 0.5000 0.5000  6 Te 3.11
Tl 0.0000 0.0000 0.0000  6 Te 3.53
Te 0.2900 0.0433 0.9567  3 Y 3.11
Te 0.7100 0.9567 0.0433  3 Y 3.11



11.
Entry from Alexandria via LeMat-Bulk: NaHf2Co after structural relaxation (PBE).

Output
For the electronic total energy, the calculation gives -6.6757 eV/atom. Its calculated formation energy is 407 meV/atom. Its space-group type is No. 225. Its density of states at the Fermi level is 3.13 states/eV/cell.

a b c (Å): 4.6699 4.6699 4.6699
angles (deg): 60.00 60.00 60.00
With the nearest neighbours (Å) after each atom.
Fractional coordinates of all 4 atoms:
Co 0.5000 0.5000 0.5000  8 Hf 2.86
Hf 0.2500 0.2500 0.2500  4 Co 2.86, 4 Na 2.86
Hf 0.7500 0.7500 0.7500  4 Na 2.86, 4 Co 2.86
Na 0.0000 0.0000 0.0000  8 Hf 2.86



12.
Entry from Alexandria via LeMat-Bulk: CsCdCl4 after structural relaxation (PBE).

Output
For the electronic total energy, the calculation gives -2.4786 eV/atom. Its space-group type is No. 123. Its density of states at the Fermi level is 5.68 states/eV/cell.

a b c (Å): 4.6702 4.6702 8.4964
angles (deg): 90.00 90.00 90.00
With the nearest neighbours (Å) after each atom.
Fractional coordinates of all 6 atoms:
Cs 0.0000 0.0000 0.0000  8 Cl 3.50
Cd 0.5000 0.5000 0.5000  8 Cl 2.86
Cl 0.5000 0.0000 0.6936  2 Cd 2.86
Cl 0.0000 0.5000 0.6936  2 Cd 2.86
Cl 0.5000 0.0000 0.3064  2 Cd 2.86
Cl 0.0000 0.5000 0.3064  2 Cd 2.86



- What is the formula in the fourth record?
  NiSbTe2Ir